Entry 1:
{
  "formula": "Cs3IO",
  "functional": "GGA-PBEsol",
  "state": "optimized geometry",
  "e_tot_ev_per_atom": -3.267,
  "magmom_total_mub_per_cell": 0.24,
  "space_group": "P6_3/mmc",
  "formation_energy_uncorrected_kcal_per_mol_atoms": -29.947,
  "lattice_angstrom": [[-2.817, 4.870, -4.262], [1.417, -4.714, -6.323], [-6.952, -0.570, 3.945]],
  "species": ["Cs", "Cs", "Cs", "Cs", "Cs", "Cs", "I", "I", "O", "O"],
  "fractional_positions": [[0.750, 0.844, 0.687], [0.250, 0.156, 0.313], [0.750, 0.313, 0.156], [0.250, 0.156, 0.844], [0.750, 0.844, 0.156], [0.250, 0.687, 0.844], [0.750, 0.333, 0.667], [0.250, 0.667, 0.333], [0.000, 0.000, 0.000], [0.500, 0.000, 0.000]]
}

=====

Entry 2:
{
  "formula": "Cs3IO5",
  "functional": "GGA-PBEsol",
  "state": "optimized geometry",
  "e_tot_ev_per_atom": -4.596,
  "magmom_total_mub_per_cell": 0.00,
  "space_group": "Cmcm",
  "formation_energy_uncorrected_kcal_per_mol_atoms": -26.958,
  "lattice_angstrom": [[-8.553, 1.856, 0.720], [-2.003, -7.079, -5.556], [-0.619, -5.805, 7.619]],
  "species": ["O", "O", "O", "O", "O", "O", "O", "O", "O", "O", "O", "O", "O", "O", "O", "O", "O", "O", "O", "O", "Cs", "Cs", "Cs", "Cs", "Cs", "Cs", "Cs", "Cs", "Cs", "Cs", "Cs", "Cs", "I", "I", "I", "I"],
  "fractional_positions": [[0.002, 0.250, 0.445], [0.581, 0.931, 0.250], [0.919, 0.069, 0.250], [0.081, 0.931, 0.750], [0.781, 0.750, 0.750], [0.419, 0.431, 0.750], [0.998, 0.750, 0.555], [0.581, 0.569, 0.250], [0.919, 0.431, 0.250], [0.081, 0.569, 0.750], [0.502, 0.250, 0.945], [0.419, 0.069, 0.750], [0.498, 0.750, 0.055], [0.002, 0.250, 0.055], [0.719, 0.250, 0.750], [0.498, 0.750, 0.445], [0.998, 0.750, 0.945], [0.502, 0.250, 0.555], [0.219, 0.250, 0.250], [0.281, 0.750, 0.250], [0.250, 0.000, 0.020], [0.953, 0.750, 0.250], [0.547, 0.250, 0.250], [0.047, 0.250, 0.750], [0.750, 0.000, 0.980], [0.250, 0.500, 0.020], [0.453, 0.750, 0.750], [0.750, 0.000, 0.520], [0.750, 0.500, 0.980], [0.250, 0.500, 0.480], [0.750, 0.500, 0.520], [0.250, 0.000, 0.480], [0.991, 0.750, 0.750], [0.009, 0.250, 0.250], [0.491, 0.750, 0.250], [0.509, 0.250, 0.750]]
}

=====

Entry 3:
{
  "formula": "CsRuIO2",
  "functional": "GGA-PBEsol",
  "state": "optimized geometry",
  "e_tot_ev_per_atom": -4.815,
  "magmom_total_mub_per_cell": 1.71,
  "space_group": "P4/mmm",
  "formation_energy_uncorrected_kcal_per_mol_atoms": -3.196,
  "lattice_angstrom": [[4.334, 0.000, 0.000], [0.000, 4.334, 0.000], [0.000, 0.000, 5.284]],
  "species": ["Ru", "Cs", "I", "O", "O"],
  "fractional_positions": [[0.000, 0.000, 0.000], [0.500, 0.500, 0.500], [0.000, 0.000, 0.500], [0.000, 0.500, 0.000], [0.500, 0.000, 0.000]]
}

=====

Entry 4:
{
  "formula": "CsSbIO2",
  "functional": "GGA-PBEsol",
  "state": "optimized geometry",
  "e_tot_ev_per_atom": -3.377,
  "magmom_total_mub_per_cell": 0.00,
  "space_group": "P4/mmm",
  "formation_energy_uncorrected_kcal_per_mol_atoms": 4.062,
  "lattice_angstrom": [[4.495, 0.000, 0.000], [0.000, 4.495, 0.000], [0.000, 0.000, 5.778]],
  "species": ["Sb", "Cs", "O", "O", "I"],
  "fractional_positions": [[0.000, 0.000, 0.500], [0.500, 0.500, 0.500], [0.500, 0.000, 0.000], [0.000, 0.500, 0.000], [0.000, 0.000, 0.000]]
}